Computed, not measured: an optimized crystal structure of NiTe3Mo at the GGA-PBE level of DFT.

CIF file:
```
data_NiTe3Mo
_space_group_name_H-M_alt 'A m m 2'
_space_group_IT_number 38
_cell_length_a 4.101
_cell_length_b 8.609
_cell_length_c 6.718
_cell_angle_alpha 90.00
_cell_angle_beta 90.00
_cell_angle_gamma 90.00
loop_
_space_group_symop_operation_xyz
'x,y,z'
'-x,-y,z'
'-x,y,z'
'x,-y,z'
'x,y+1/2,z+1/2'
'-x,-y+1/2,z+1/2'
'-x,y+1/2,z+1/2'
'x,-y+1/2,z+1/2'
loop_
_atom_site_label
_atom_site_type_symbol
_atom_site_fract_x
_atom_site_fract_y
_atom_site_fract_z
_atom_site_occupancy
Ni1 Ni 0.000 0.000 0.000 1
Te1 Te 0.000 0.000 0.625 1
Te2 Te 0.500 0.184 0.045 1
Mo1 Mo 0.500 0.000 0.385 1
```

E above lowest polymorph (meV per atom): 0.0
D(E_F) (states/eV per cell): 8.507
V (A^3/atom): 23.72
E_tot (eV per atom): -5.1265